DFT (GGA-PBEsol) results for an optimized crystal structure of MgNiIN2.

Lattice parameters (Å, degrees): 3.910 3.910 5.854 90.00 90.00 90.00
Element x y z (fractional)
1 Mg 0.000 0.000 0.000
2 Ni 0.500 0.500 0.500
3 I 0.000 0.000 0.500
4 N 0.000 0.500 0.000
5 N 0.500 0.000 0.000

## Properties
Formation energy (no corrections) (meV per atom): 1473
DOS at the Fermi energy (states/eV/cell): 4.4
Symmetry: P4/mmm